1.
Li2Er2ScPd5 after structural relaxation. Source: Alexandria, functional PBE.

Calculated values
**Space group**: P4/mbm, No. 127
**D(E_F)**: 4.34 states/eV/f.u.
**Raw total energy**: -105.65 eV for the cell shown
**Total moment**: 0.0000 μB/atom
**ΔH_f (0 K)**: -757 meV/atom

Lattice parameters (Å, degrees): 3.5795 9.7844 9.7844 90.00 90.00 90.00
Last column: nearest neighbours and their distance in Å.
Element x y z (fractional)
Li 0.0000 0.1217 0.6217  6 Pd 2.46-2.50
Li 0.0000 0.8783 0.3783  6 Pd 2.46-2.50
Li 0.0000 0.6217 0.8783  6 Pd 2.46-2.50
Li 0.0000 0.3783 0.1217  6 Pd 2.46-2.50
Er 0.0000 0.6753 0.1753  3 Li 2.81-2.95, 6 Pd 3.01-3.10
Er 0.0000 0.3247 0.8247  3 Li 2.81-2.95, 6 Pd 3.01-3.10
Er 0.0000 0.1753 0.3247  3 Li 2.81-2.95, 6 Pd 3.01-3.10
Er 0.0000 0.8247 0.6753  3 Li 2.81-2.95, 6 Pd 3.01-3.10
Sc 0.0000 0.0000 0.0000  8 Pd 2.79
Sc 0.0000 0.5000 0.5000  8 Pd 2.79
Pd 0.5000 0.2080 0.0684  2 Li 2.50, 2 Sc 2.79
Pd 0.5000 0.7920 0.9316  2 Li 2.50, 2 Sc 2.79
Pd 0.5000 0.0684 0.7920  2 Li 2.50, 2 Sc 2.79
Pd 0.5000 0.7080 0.4316  2 Li 2.50, 2 Sc 2.79
Pd 0.5000 0.9316 0.2080  2 Li 2.50, 2 Sc 2.79
Pd 0.5000 0.2920 0.5684  2 Li 2.50, 2 Sc 2.79
Pd 0.5000 0.5684 0.7080  2 Li 2.50, 2 Sc 2.79
Pd 0.5000 0.4316 0.2920  2 Li 2.50, 2 Sc 2.79
Pd 0.5000 0.5000 0.0000  4 Li 2.46
Pd 0.5000 0.0000 0.5000  4 Li 2.46

2.
Ti6IrPd5 after structural relaxation. Source: Alexandria, functional PBE.

Calculated values
**Space group**: Immm, No. 71
**D(E_F)**: 13.59 states/eV/f.u.
**Raw total energy**: -89.16 eV for the cell shown
**Total moment**: 0.0221 μB/atom
**ΔH_f (0 K)**: -580 meV/atom

Lattice parameters (Å, degrees): 4.0409 7.6187 7.4271 120.86 105.77 90.00
Last column: nearest neighbours and their distance in Å.
Element x y z (fractional)
Ir 0.0000 0.0000 0.0000  8 Ti 2.72-2.73, 4 Pd 2.90
Pd 0.6718 0.1719 0.3438  8 Ti 2.75-2.77, 2 Pd 2.84, 2 Ir 2.90
Pd 0.3365 0.3364 0.6729  8 Ti 2.79-2.80, 4 Pd 2.83-2.84
Pd 0.0000 0.5000 0.0000  8 Ti 2.79-2.83, 4 Pd 2.83
Pd 0.6635 0.6636 0.3271  8 Ti 2.79-2.80, 4 Pd 2.83-2.84
Pd 0.3282 0.8281 0.6562  8 Ti 2.75-2.77, 2 Pd 2.84, 2 Ir 2.90
Ti 0.8349 0.5901 0.6698  1 Ir 2.73, 7 Pd 2.75-2.80, 4 Ti 2.84-2.88
Ti 0.8349 0.0797 0.6698  1 Ir 2.73, 7 Pd 2.75-2.80, 4 Ti 2.84-2.88
Ti 0.5000 0.7609 0.9999  2 Ir 2.72, 6 Pd 2.76-2.83, 4 Ti 2.84
Ti 0.5000 0.2391 0.0001  2 Ir 2.72, 6 Pd 2.76-2.83, 4 Ti 2.84
Ti 0.1651 0.9203 0.3302  1 Ir 2.73, 7 Pd 2.75-2.80, 4 Ti 2.84-2.88
Ti 0.1651 0.4099 0.3302  1 Ir 2.73, 7 Pd 2.75-2.80, 4 Ti 2.84-2.88

3.
CrRe2SbC after structural relaxation. Source: Alexandria, functional PBE.

Calculated values
**Space group**: P4/mmm, No. 123
**Uncorrected formation energy**: 1.527 eV/atom
**D(E_F)**: 5.00 states/eV/f.u.
**Raw total energy**: -40.23 eV for the cell shown
**Total moment**: 0.0000 μB/atom

Lattice parameters (Å, degrees): 4.6661 3.6585 4.6661 90.00 90.00 90.00
Last column: nearest neighbours and their distance in Å.
Element x y z (fractional)
Re 0.0000 0.0000 0.5000  2 Cr 2.33
Re 0.5000 0.0000 0.0000  2 Cr 2.33
C 0.0000 0.5000 0.0000  2 Cr 1.83
Cr 0.0000 0.0000 0.0000  2 C 1.83
Sb 0.5000 0.5000 0.5000  8 Re 2.96, 4 C 3.30

4.
Ho2Zn5In after structural relaxation. Source: Alexandria, functional PBE.

Calculated values
**Space group**: Cmcm, No. 63
**D(E_F)**: 5.44 states/eV/f.u.
**Raw total energy**: -41.80 eV for the cell shown
**Total moment**: 0.0000 μB/atom
**ΔH_f (0 K)**: -330 meV/atom

Lattice parameters (Å, degrees): 4.3157 8.3683 9.0733 90.00 90.00 104.94
Last column: nearest neighbours and their distance in Å.
Element x y z (fractional)
Ho 0.7984 0.5968 0.7500  13 Zn 3.04-3.39, 2 In 3.25
Ho 0.2016 0.4032 0.2500  13 Zn 3.04-3.39, 2 In 3.25
Ho 0.0000 0.0000 0.0000  6 Zn 3.21-3.29, 4 In 3.24
Ho 0.0000 0.0000 0.5000  6 Zn 3.21-3.29, 4 In 3.24
Zn 0.1886 0.3771 0.8912  6 Zn 2.52-2.81
Zn 0.8114 0.6229 0.1088  6 Zn 2.52-2.81
Zn 0.1886 0.3771 0.6088  6 Zn 2.52-2.81
Zn 0.8114 0.6229 0.3912  6 Zn 2.52-2.81
Zn 0.3469 0.6938 0.9812  4 Zn 2.52-2.69, 1 In 2.66
Zn 0.6531 0.3062 0.0188  4 Zn 2.52-2.69, 1 In 2.66
Zn 0.3469 0.6938 0.5188  4 Zn 2.52-2.69, 1 In 2.66
Zn 0.6531 0.3062 0.4812  4 Zn 2.52-2.69, 1 In 2.66
Zn 0.6101 0.2202 0.7500  6 Zn 2.54-2.81, 1 In 2.62
Zn 0.3899 0.7798 0.2500  6 Zn 2.54-2.81, 1 In 2.62
In 0.4483 0.8966 0.7500  3 Zn 2.62-2.66
In 0.5517 0.1034 0.2500  3 Zn 2.62-2.66

5.
KYGe2O6 after structural relaxation. Source: Alexandria, functional PBE.

Calculated values
**Space group**: C2/c, No. 15
**Uncorrected formation energy**: -2.141 eV/atom
**D(E_F)**: 0.00 states/eV/f.u.
**Raw total energy**: -135.92 eV for the cell shown
**Total moment**: 0.0000 μB/atom

Lattice parameters (Å, degrees): 5.3744 7.5005 7.5005 91.53 85.35 85.35
Last column: nearest neighbours and their distance in Å.
Element x y z (fractional)
K 0.2500 0.9108 0.0892  6 O 2.63-2.69
K 0.7500 0.0892 0.9108  6 O 2.63-2.69
Y 0.2500 0.2823 0.7177  4 O 2.18-2.26
Y 0.7500 0.7177 0.2823  4 O 2.18-2.26
Ge 0.2244 0.7916 0.6183  4 O 1.71-1.87
Ge 0.2756 0.3817 0.2084  4 O 1.71-1.87
Ge 0.7756 0.2084 0.3817  4 O 1.71-1.87
Ge 0.7244 0.6183 0.7916  4 O 1.71-1.87
O 0.1935 0.9891 0.7482  1 Ge 1.74
O 0.3065 0.2518 0.0109  1 Ge 1.74
O 0.8065 0.0109 0.2518  1 Ge 1.74
O 0.6935 0.7482 0.9891  1 Ge 1.74
O 0.3802 0.8050 0.4113  1 Ge 1.71
O 0.1198 0.5887 0.1950  1 Ge 1.71
O 0.6198 0.1950 0.5887  1 Ge 1.71
O 0.8802 0.4113 0.8050  1 Ge 1.71
O 0.9026 0.7216 0.6017  2 Ge 1.86-1.87
O 0.5974 0.3983 0.2784  2 Ge 1.86-1.87
O 0.0974 0.2784 0.3983  2 Ge 1.86-1.87
O 0.4026 0.6017 0.7216  2 Ge 1.86-1.87

6.
Li2AgAu after structural relaxation. Source: Alexandria, functional PBE.

Calculated values
**Space group**: Cm, No. 8
**Energy relative to the lowest polymorph listed for this composition**: 0.038 eV per atom
**D(E_F)**: 0.92 states/eV/f.u.
**Raw total energy**: -11.38 eV for the cell shown
**Total moment**: 0.0000 μB/atom
**ΔH_f (0 K)**: -356 meV/atom

Lattice parameters (Å, degrees): 5.0272 5.0272 4.6725 77.88 77.88 33.83
Last column: nearest neighbours and their distance in Å.
Element x y z (fractional)
Au 0.2520 0.2520 0.2109  7 Li 2.69-2.80, 2 Au 2.93, 2 Ag 2.94
Ag 0.5011 0.5011 0.5341  7 Li 2.74-2.77, 2 Ag 2.93, 2 Au 2.94
Li 0.9903 0.9903 0.0410  3 Au 2.69-2.80, 4 Ag 2.75-2.77, 3 Li 2.93-2.98
Li 0.7566 0.7566 0.7140  4 Au 2.74-2.78, 3 Ag 2.74-2.77, 5 Li 2.93-3.05

7.
SiPI2 after structural relaxation. Source: Alexandria, functional PBE.

Calculated values
**Space group**: I-42d, No. 122
**Energy relative to the lowest polymorph listed for this composition**: 0.000 eV per atom
**Uncorrected formation energy**: 0.862 eV/atom
**D(E_F)**: 3.01 states/eV/f.u.
**Raw total energy**: -20.97 eV for the cell shown
**Total moment**: 0.0000 μB/atom

Lattice parameters (Å, degrees): 7.9131 7.9131 6.6655 53.59 53.59 90.00
Last column: nearest neighbours and their distance in Å.
Element x y z (fractional)
I 0.6224 0.1250 0.2500  2 Si 2.93, 2 P 2.95
I 0.1276 0.6250 0.2500  2 Si 2.93, 2 P 2.95
I 0.3750 0.3776 0.7500  2 Si 2.93, 2 P 2.95
I 0.8750 0.8724 0.7500  2 Si 2.93, 2 P 2.95
P 0.0000 0.0000 0.0000  4 I 2.95
P 0.7500 0.2500 0.5000  4 I 2.95
Si 0.5000 0.5000 0.0000  4 I 2.93
Si 0.2500 0.7500 0.5000  4 I 2.93

8.
Zr6Tl2Hg after structural relaxation. Source: Alexandria, functional PBE.

Calculated values
**Space group**: P4_2/mnm, No. 136
**Energy relative to the lowest polymorph listed for this composition**: 0.000 eV per atom
**D(E_F)**: 9.82 states/eV/f.u.
**Raw total energy**: -114.30 eV for the cell shown
**Total moment**: 0.0000 μB/atom
**ΔH_f (0 K)**: -92 meV/atom

Lattice parameters (Å, degrees): 4.4611 9.6070 9.6071 90.00 90.00 90.00
Last column: nearest neighbours and their distance in Å.
Element x y z (fractional)
Zr 0.0000 0.0041 0.1676  3 Tl 3.11-3.16, 8 Zr 3.19-3.29, 1 Hg 3.19
Zr 0.0000 0.6676 0.5041  3 Tl 3.11-3.16, 8 Zr 3.19-3.29, 1 Hg 3.19
Zr 0.0000 0.6540 0.8460  2 Hg 3.06, 4 Tl 3.17-3.22, 6 Zr 3.20-3.29
Zr 0.5000 0.1540 0.6540  2 Hg 3.06, 4 Tl 3.17-3.22, 6 Zr 3.20-3.29
Zr 0.5000 0.1676 0.9959  3 Tl 3.11-3.16, 8 Zr 3.19-3.29, 1 Hg 3.19
Zr 0.5000 0.5041 0.3324  3 Tl 3.11-3.16, 8 Zr 3.19-3.29, 1 Hg 3.19
Zr 0.0000 0.9959 0.8324  3 Tl 3.11-3.16, 8 Zr 3.19-3.29, 1 Hg 3.19
Zr 0.0000 0.3324 0.4959  3 Tl 3.11-3.16, 8 Zr 3.19-3.29, 1 Hg 3.19
Zr 0.0000 0.3461 0.1540  2 Hg 3.06, 4 Tl 3.17-3.22, 6 Zr 3.20-3.29
Zr 0.5000 0.8460 0.3460  2 Hg 3.06, 4 Tl 3.17-3.22, 6 Zr 3.20-3.29
Zr 0.5000 0.8324 0.0041  3 Tl 3.11-3.16, 8 Zr 3.19-3.29, 1 Hg 3.19
Zr 0.5000 0.4959 0.6676  3 Tl 3.11-3.16, 8 Zr 3.19-3.29, 1 Hg 3.19
Tl 0.0001 0.3196 0.8196  10 Zr 3.11-3.22, 2 Hg 3.31
Tl 0.4999 0.8196 0.6804  10 Zr 3.11-3.22, 2 Hg 3.31
Tl 0.5001 0.1804 0.3196  10 Zr 3.11-3.22, 2 Hg 3.31
Tl 0.9999 0.6804 0.1804  10 Zr 3.11-3.22, 2 Hg 3.31
Hg 0.5000 0.5000 0.0000  8 Zr 3.06-3.19, 4 Tl 3.31
Hg 0.0000 0.0000 0.5000  8 Zr 3.06-3.19, 4 Tl 3.31